A relaxed structure of CsNa2LiAu. Source: the Alexandria database, functional PBE.

Results
Volume, Å³/atom: 37.44
Formation energy from the elements, eV/atom: -0.089
Symmetry: P4/mmm, No. 123
Total DFT energy (no corrections), eV per atom: -1.83

Lattice parameters (Å, degrees): 5.905 5.905 5.370 90.00 90.00 90.00
Positions (direct):
1 Cs 0.000 0.000 0.000
2 Na 0.000 0.500 0.500
3 Na 0.500 0.000 0.500
4 Li 0.500 0.500 0.000
5 Au 0.500 0.500 0.500